Computed, not measured: LiPm2Ga2 after structural relaxation at the GGA-PBE level of DFT.

- Density of states at the Fermi level: 14.8 states/eV/cell
- M_tot: 0.0 μB per formula unit
- ΔE_f: -2.3 eV per formula unit

Structure (CIF):
```
data_LiPm2Ga2
_chemical_formula_sum 'Li4 Pm8 Ga8'
_cell_length_a 10.522
_cell_length_b 4.620
_cell_length_c 10.987
_cell_angle_alpha 90.00
_cell_angle_beta 118.16
_cell_angle_gamma 90.00
_symmetry_space_group_name_H-M 'C 1 2/m 1'
_symmetry_Int_Tables_number 12
loop_
_symmetry_equiv_pos_as_xyz
'x,y,z'
'-x,-y,-z'
'-x,y,-z'
'x,-y,z'
'x+1/2,y+1/2,z'
'-x+1/2,-y+1/2,-z'
'-x+1/2,y+1/2,-z'
'x+1/2,-y+1/2,z'
loop_
_atom_site_label
_atom_site_fract_x
_atom_site_fract_y
_atom_site_fract_z
_atom_site_occupancy
Li1 0.137 0.000 0.362 1
Pm1 0.085 0.500 0.895 1
Pm2 0.190 0.000 0.671 1
Ga1 0.066 0.500 0.429 1
Ga2 0.127 0.000 0.111 1
```

---

Computed, not measured: CuNi4W after structural relaxation at the GGA-PBE level of DFT.

- Density of states at the Fermi level: 22.2 states/eV/cell
- M_tot: 0.0 μB per formula unit
- ΔE_f: 3.0 eV per formula unit

Structure (CIF):
```
data_CuNi4W
_chemical_formula_sum 'Cu4 Ni16 W4'
_cell_length_a 6.189
_cell_length_b 6.189
_cell_length_c 8.457
_cell_angle_alpha 90.00
_cell_angle_beta 90.00
_cell_angle_gamma 90.00
_symmetry_space_group_name_H-M 'I 41/a'
_symmetry_Int_Tables_number 88
loop_
_symmetry_equiv_pos_as_xyz
'x,y,z'
'-x,-y,-z'
'-y+3/4,x+1/4,z+1/4'
'y+3/4,-x+1/4,-z+1/4'
'-x+1/2,-y,z+1/2'
'x+1/2,y,-z+1/2'
'y+3/4,-x+3/4,z+3/4'
'-y+3/4,x+3/4,-z+3/4'
'x+1/2,y+1/2,z+1/2'
'-x+1/2,-y+1/2,-z+1/2'
'-y+1/4,x+3/4,z+3/4'
'y+1/4,-x+3/4,-z+3/4'
'-x,-y+1/2,z'
'x,y+1/2,-z'
'y+1/4,-x+1/4,z+1/4'
'-y+1/4,x+1/4,-z+1/4'
loop_
_atom_site_label
_atom_site_fract_x
_atom_site_fract_y
_atom_site_fract_z
_atom_site_occupancy
Cu1 0.000 0.250 0.125 1
Ni1 0.134 0.395 0.880 1
W1 0.000 0.250 0.625 1
```

---

Computed, not measured: InH2F after structural relaxation at the GGA-PBE level of DFT.

- Density of states at the Fermi level: 0.0 states/eV/cell
- Total energy: -14.49 eV for the cell shown
- M_tot: 0.0 μB per formula unit

Structure (CIF):
```
data_InH2F
_chemical_formula_sum 'In1 H2 F1'
_cell_length_a 3.620
_cell_length_b 3.638
_cell_length_c 7.172
_cell_angle_alpha 79.98
_cell_angle_beta 86.10
_cell_angle_gamma 60.38
_symmetry_space_group_name_H-M 'P 1'
_symmetry_Int_Tables_number 1
loop_
_symmetry_equiv_pos_as_xyz
'x,y,z'
loop_
_atom_site_label
_atom_site_fract_x
_atom_site_fract_y
_atom_site_fract_z
_atom_site_occupancy
In1 0.000 0.000 0.000 1
H1 0.630 0.873 0.500 1
H2 0.778 0.699 0.576 1
F1 0.341 0.274 0.169 1
```

---

Computed, not measured: Y3HfAs after structural relaxation at the GGA-PBE level of DFT.

- Density of states at the Fermi level: 5.1 states/eV/cell
- M_tot: 3.3 μB per formula unit
- ΔE_f: -0.2 eV per formula unit

Structure (CIF):
```
data_Y3HfAs
_chemical_formula_sum 'Y3 Hf1 As1'
_cell_length_a 5.393
_cell_length_b 5.393
_cell_length_c 5.393
_cell_angle_alpha 90.00
_cell_angle_beta 90.00
_cell_angle_gamma 90.00
_symmetry_space_group_name_H-M 'P m -3 m'
_symmetry_Int_Tables_number 221
_symmetry_space_group_name_Hall '-P 4 2 3'
loop_
_atom_site_label
_atom_site_fract_x
_atom_site_fract_y
_atom_site_fract_z
_atom_site_occupancy
Y1 0.000 0.000 0.500 1
Hf1 0.500 0.500 0.500 1
As1 0.000 0.000 0.000 1
```

---

Ρ per entry: 6.16, 9.89, 2.79, 5.51 g/cm3